1.
Here is a geometry-optimized KCrSi3 structure from the Alexandria database. Energies are from GGA-PBE.

Properties
- Formation energy (no corrections): 0.17 eV per atom
- SG: Pm-3m

Unit cell a=4.560 b=4.560 c=4.560 alpha=90.00 beta=90.00 gamma=90.00
Sites, in units of the cell vectors:
K  0.000  0.000  0.000
Cr  0.500  0.500  0.500
Si  0.000  0.500  0.500
Si  0.500  0.000  0.500
Si  0.500  0.500  0.000


2.
Here is a geometry-optimized Dy2MnBePd6 structure from the Alexandria database. Energies are from GGA-PBE.

Properties
- SG: P-1
- Energy of formation: -0.538 eV per atom

Unit cell a=5.729 b=5.733 c=7.173 alpha=89.92 beta=66.49 gamma=60.03
Sites, in units of the cell vectors:
Dy  0.062  0.279  0.216
Dy  0.938  0.721  0.784
Mn  0.500  0.500  0.000
Be  0.500  0.000  0.500
Pd  0.007  0.172  0.651
Pd  0.436  0.212  0.778
Pd  0.478  0.343  0.350
Pd  0.522  0.657  0.650
Pd  0.564  0.788  0.222
Pd  0.993  0.828  0.349


3.
Here is a geometry-optimized CsLiInCl6 structure from the Alexandria database. Energies are from GGA-PBE.

Properties
- Formation energy (no corrections): -1.26 eV per atom
- SG: P1

Unit cell a=6.031 b=6.940 c=7.789 alpha=86.95 beta=82.90 gamma=64.30
Sites, in units of the cell vectors:
Cs  0.000  0.000  0.000
Li  0.644  0.710  0.500
In  0.347  0.304  0.500
Cl  0.056  0.575  0.292
Cl  0.366  0.577  0.706
Cl  0.398  0.008  0.305
Cl  0.594  0.009  0.694
Cl  0.640  0.417  0.296
Cl  0.942  0.415  0.702


4.
Here is a geometry-optimized Tb4PmNd2Ho structure from the Alexandria database. Energies are from GGA-PBE.

Properties
- SG: C2/c
- Energy of formation: 0.409 eV per atom

Unit cell a=9.554 b=9.554 c=6.851 alpha=111.01 beta=111.01 gamma=88.30
Sites, in units of the cell vectors:
Tb  0.245  0.754  0.999
Tb  0.246  0.246  0.495
Tb  0.246  0.246  0.995
Tb  0.246  0.755  0.501
Tb  0.754  0.245  0.499
Tb  0.754  0.754  0.005
Tb  0.754  0.754  0.505
Tb  0.755  0.246  0.001
Pm  0.000  0.500  0.500
Pm  0.500  0.000  0.000
Nd  0.000  0.500  0.000
Nd  0.500  0.000  0.500
Nd  0.500  0.500  0.000
Nd  0.500  0.500  0.500
Ho  0.000  0.000  0.000
Ho  0.000  0.000  0.500


no.,calculated volume (A^3/atom)
1,18.961
2,18.126
3,32.388
4,33.841